[1]
{"formula": "Zr2TaMo", "functional": "SCAN", "state": "PBEsol geometry", "ef_ev_per_atom": 0.179, "crystal_system": "cubic", "e_tot_ev_per_atom": -40.54, "rho_g_cm3": 10.2, "magnetic_moment_mub_per_fu": 0.00, "lattice": [[0.000, 3.345, 3.345], [3.345, 0.000, 3.345], [3.345, 3.345, 0.000]], "species": ["Zr", "Zr", "Ta", "Mo"], "frac_coords": [[0.250, 0.250, 0.250], [0.750, 0.750, 0.750], [0.000, 0.000, 0.000], [0.500, 0.500, 0.500]]}

[2]
{"formula": "YMg2Cu3", "functional": "SCAN", "state": "PBEsol geometry", "ef_ev_per_atom": -0.197, "crystal_system": "hexagonal", "e_tot_ev_per_atom": -14.10, "rho_g_cm3": 5.3, "magnetic_moment_mub_per_fu": 0.00, "lattice": [[4.444, 0.000, 0.000], [-2.222, 3.848, 0.000], [0.000, 0.000, 11.970]], "species": ["Y", "Y", "Mg", "Mg", "Mg", "Mg", "Cu", "Cu", "Cu", "Cu", "Cu", "Cu"], "frac_coords": [[0.000, 0.000, 0.250], [0.000, 0.000, 0.750], [0.333, 0.667, 0.074], [0.333, 0.667, 0.426], [0.667, 0.333, 0.574], [0.667, 0.333, 0.926], [0.000, 0.000, 0.000], [0.000, 0.000, 0.500], [0.333, 0.667, 0.644], [0.333, 0.667, 0.856], [0.667, 0.333, 0.144], [0.667, 0.333, 0.356]]}

[3]
{"formula": "ZrGaPt", "functional": "SCAN", "state": "PBEsol geometry", "ef_ev_per_atom": -1.239, "crystal_system": "hexagonal", "e_tot_ev_per_atom": -40.32, "rho_g_cm3": 11.5, "magnetic_moment_mub_per_fu": 0.00, "lattice": [[7.114, 0.000, 0.000], [-3.557, 6.161, 0.000], [0.000, 0.000, 7.038]], "species": ["Zr", "Zr", "Zr", "Zr", "Zr", "Zr", "Ga", "Ga", "Ga", "Ga", "Ga", "Ga", "Pt", "Pt", "Pt", "Pt", "Pt", "Pt"], "frac_coords": [[0.022, 0.614, 0.250], [0.386, 0.409, 0.250], [0.409, 0.386, 0.750], [0.591, 0.978, 0.250], [0.614, 0.022, 0.750], [0.978, 0.591, 0.750], [0.000, 0.268, 0.000], [0.000, 0.268, 0.500], [0.268, 0.000, 0.000], [0.268, 0.000, 0.500], [0.732, 0.732, 0.000], [0.732, 0.732, 0.500], [0.000, 0.000, 0.250], [0.000, 0.000, 0.750], [0.333, 0.667, 0.532], [0.333, 0.667, 0.968], [0.667, 0.333, 0.032], [0.667, 0.333, 0.468]]}